The following is a PBE+U calculation of CoCl2F after structural relaxation, from the Alexandria database.

Output
Crystal system: tetragonal
Total magnetization, Bohr magnetons per cell: 4.000
E_tot, hartree per atom: -0.1145
E above lowest polymorph, meV/atom: 89

a b c (Å): 6.5259 6.5259 6.1786
angles (deg): 58.12 58.12 90.00
Closest atoms and distances in Å follow each position.
Sites, in units of the cell vectors:
F  0.2500  0.7500  0.5000  4 Cl 2.81
F  0.5000  0.5000  0.0000  4 Cl 2.81
Cl  0.8750  0.9382  0.7500  2 Co 2.28
Cl  0.3750  0.3118  0.7500  2 Co 2.28
Cl  0.0618  0.6250  0.2500  2 Co 2.28
Cl  0.6882  0.1250  0.2500  2 Co 2.28
Co  0.0000  0.0000  0.0000  4 Cl 2.28
Co  0.7500  0.2500  0.5000  4 Cl 2.28